# 1
{
  "formula": "AlP3Pb",
  "functional": "PBE-GGA",
  "state": "relaxed",
  "formation_energy_ev_per_atom": 0.469,
  "space_group": "Pm-3m, No. 221",
  "de_polymorph_mev_per_atom": 0,
  "cell": [[4.744, 0.000, 0.000], [0.000, 4.744, 0.000], [0.000, 0.000, 4.744]],
  "species": ["Pb", "P", "P", "P", "Al"],
  "fractional_positions": [[0.500, 0.500, 0.500], [0.000, 0.500, 0.000], [0.000, 0.000, 0.500], [0.500, 0.000, 0.000], [0.000, 0.000, 0.000]]
}

# 2
{
  "formula": "Al2PPb",
  "functional": "PBE-GGA",
  "state": "relaxed",
  "formation_energy_ev_per_atom": -0.069,
  "space_group": "R-3m, No. 166",
  "de_polymorph_mev_per_atom": 0,
  "cell": [[7.579, -0.003, -0.002], [6.699, 3.544, -0.002], [6.699, 1.661, 3.130]],
  "species": ["Pb", "P", "Al", "Al"],
  "fractional_positions": [[0.750, 0.750, 0.750], [0.250, 0.250, 0.250], [0.980, 0.980, 0.980], [0.520, 0.520, 0.520]]
}

# 3
{
  "formula": "Al2PPb",
  "functional": "PBE-GGA",
  "state": "relaxed",
  "formation_energy_ev_per_atom": 0.123,
  "space_group": "Cm, No. 8",
  "de_polymorph_mev_per_atom": 191,
  "cell": [[4.668, -0.002, 0.023], [3.347, 3.254, 0.023], [1.217, 0.494, 5.728]],
  "species": ["Pb", "P", "Al", "Al"],
  "fractional_positions": [[0.758, 0.758, 0.765], [0.519, 0.519, 0.364], [0.988, 0.988, 0.069], [0.235, 0.235, 0.303]]
}

# 4
{
  "formula": "Al2PPb",
  "functional": "PBE-GGA",
  "state": "relaxed",
  "formation_energy_ev_per_atom": 0.219,
  "space_group": "Imm2, No. 44",
  "de_polymorph_mev_per_atom": 288,
  "cell": [[5.683, -0.026, 0.012], [2.442, 5.132, -0.012], [-3.528, -3.404, 2.875]],
  "species": ["Pb", "P", "Al", "Al"],
  "fractional_positions": [[0.270, 0.770, 0.500], [0.541, 0.541, 0.000], [0.976, 0.976, 0.000], [0.713, 0.213, 0.500]]
}

# 5
{
  "formula": "Al2PPb",
  "functional": "PBE-GGA",
  "state": "relaxed",
  "formation_energy_ev_per_atom": 0.433,
  "space_group": "F-43m, No. 216",
  "de_polymorph_mev_per_atom": 502,
  "cell": [[-2.495, 3.056, -2.913], [-4.787, -0.721, -0.783], [-3.291, 3.083, 1.926]],
  "species": ["Pb", "P", "Al", "Al"],
  "fractional_positions": [[0.750, 0.750, 0.750], [0.500, 0.500, 0.500], [0.000, 0.000, 0.000], [0.250, 0.250, 0.250]]
}

# 6
{
  "formula": "Al2PPb",
  "functional": "PBE-GGA",
  "state": "relaxed",
  "formation_energy_ev_per_atom": 0.083,
  "space_group": "R3m, No. 160",
  "de_polymorph_mev_per_atom": 152,
  "cell": [[-1.831, 2.379, 7.274], [-0.747, -1.119, 7.753], [1.767, 1.575, 7.505]],
  "species": ["Pb", "P", "Al", "Al"],
  "fractional_positions": [[0.757, 0.757, 0.757], [0.521, 0.521, 0.521], [0.987, 0.987, 0.987], [0.235, 0.235, 0.235]]
}

# 7
{
  "formula": "Al2PPb",
  "functional": "PBE-GGA",
  "state": "relaxed",
  "formation_energy_ev_per_atom": 0.403,
  "space_group": "Fm-3m, No. 225",
  "de_polymorph_mev_per_atom": 471,
  "cell": [[0.000, 3.434, 3.434], [3.434, 0.000, 3.434], [3.434, 3.434, 0.000]],
  "species": ["Pb", "P", "Al", "Al"],
  "fractional_positions": [[0.500, 0.500, 0.500], [0.000, 0.000, 0.000], [0.250, 0.250, 0.250], [0.750, 0.750, 0.750]]
}

# 8
{
  "formula": "Al2P4Pb",
  "functional": "PBE-GGA",
  "state": "relaxed",
  "formation_energy_ev_per_atom": -0.111,
  "space_group": "Cc, No. 9",
  "cell": [[-6.032, 3.548, 1.216], [-0.013, -0.248, 7.661], [-0.063, 6.741, 0.776]],
  "species": ["Al", "Al", "Al", "Al", "P", "P", "P", "P", "P", "P", "P", "P", "Pb", "Pb"],
  "fractional_positions": [[0.712, 0.028, 0.523], [0.410, 0.019, 0.248], [0.235, 0.528, 0.477], [0.658, 0.520, 0.752], [0.385, 0.899, 0.597], [0.331, 0.629, 0.736], [0.734, 0.986, 0.865], [0.600, 0.486, 0.135], [0.067, 0.130, 0.264], [0.983, 0.400, 0.403], [0.516, 0.251, 0.370], [0.885, 0.751, 0.631], [0.901, 0.684, 0.155], [0.056, 0.184, 0.845]]
}

# 9
{
  "formula": "AlRePPb2",
  "functional": "PBE-GGA",
  "state": "relaxed",
  "formation_energy_ev_per_atom": 1.360,
  "space_group": "P4/mmm, No. 123",
  "cell": [[-4.249, -0.863, -3.251], [-0.195, -4.273, 1.389], [-3.355, 1.453, 3.999]],
  "species": ["Pb", "Pb", "Re", "Al", "P"],
  "fractional_positions": [[0.000, 0.000, 0.500], [0.500, 0.000, 0.000], [0.500, 0.500, 0.500], [0.000, 0.500, 0.000], [0.000, 0.000, 0.000]]
}

# 10
{
  "formula": "AlP2PbS",
  "functional": "PBE-GGA",
  "state": "relaxed",
  "formation_energy_uncorrected_mev_per_atom": 257,
  "space_group": "P4/mmm, No. 123",
  "de_polymorph_mev_per_atom": 0,
  "cell": [[4.821, 0.000, 0.000], [0.000, 4.821, 0.000], [0.000, 0.000, 5.081]],
  "species": ["Pb", "P", "P", "S", "Al"],
  "fractional_positions": [[0.500, 0.500, 0.500], [0.000, 0.500, 0.000], [0.500, 0.000, 0.000], [0.000, 0.000, 0.500], [0.000, 0.000, 0.000]]
}

# 11
{
  "formula": "AlP2PbS",
  "functional": "PBE-GGA",
  "state": "relaxed",
  "formation_energy_uncorrected_mev_per_atom": 1162,
  "space_group": "P4/mmm, No. 123",
  "de_polymorph_mev_per_atom": 905,
  "cell": [[-4.038, -2.382, -2.376], [3.203, -1.587, -3.853], [1.024, -4.387, 2.658]],
  "species": ["Pb", "P", "P", "S", "Al"],
  "fractional_positions": [[0.000, 0.000, 0.000], [0.000, 0.500, 0.000], [0.500, 0.000, 0.000], [0.000, 0.000, 0.500], [0.500, 0.500, 0.500]]
}

# 12
{
  "formula": "SrAlPPb2",
  "functional": "PBE-GGA",
  "state": "relaxed",
  "formation_energy_ev_per_atom": 0.428,
  "space_group": "P4/mmm, No. 123",
  "cell": [[-0.408, 5.232, 0.214], [-4.029, -0.128, -4.560], [-3.915, -0.448, 3.472]],
  "species": ["Pb", "Pb", "Sr", "Al", "P"],
  "fractional_positions": [[0.000, 0.000, 0.500], [0.500, 0.000, 0.000], [0.000, 0.500, 0.000], [0.000, 0.000, 0.000], [0.500, 0.500, 0.500]]
}